Entry 1:
The following is a PBE-GGA calculation of a geometry-optimized MgAlN2 structure, from Alexandria via LeMat-Bulk.

Computed properties:
Formation energy without anion corrections: -0.10 eV/f.u.
E_tot: -5.522 eV per atom
D(E_F): 7.34 states/eV per cell
Space group: No. 166
Energy relative to the lowest polymorph listed for this composition: 574.6 meV per atom

Cell and atoms, written as CIF:
```
data_MgAlN2
_symmetry_space_group_name_H-M 'P 1'
_symmetry_Int_Tables_number 1
_cell_length_a 3.0853
_cell_length_b 3.0853
_cell_length_c 17.6926
_cell_angle_alpha 90.00
_cell_angle_beta 90.00
_cell_angle_gamma 120.00
loop_
_symmetry_equiv_pos_as_xyz
'x,y,z'
loop_
_atom_site_label
_atom_site_type_symbol
_atom_site_fract_x
_atom_site_fract_y
_atom_site_fract_z
_atom_site_occupancy
Mg1 Mg 0.0000 0.0000 0.0000 1
Mg2 Mg 0.3333 0.6667 0.6667 1
Mg3 Mg 0.6667 0.3333 0.3333 1
Al1 Al 0.0000 0.0000 0.5000 1
Al2 Al 0.3333 0.6667 0.1667 1
Al3 Al 0.6667 0.3333 0.8333 1
N1 N 0.0000 0.0000 0.1100 1
N2 N 0.0000 0.0000 0.8900 1
N3 N 0.3333 0.6667 0.5566 1
N4 N 0.3333 0.6667 0.7767 1
N5 N 0.6667 0.3333 0.2233 1
N6 N 0.6667 0.3333 0.4434 1
```

Entry 2:
The following is a PBE-GGA calculation of a geometry-optimized MgAlN structure, from Alexandria via LeMat-Bulk.

Computed properties:
Formation energy without anion corrections: -1.50 eV/f.u.
E_tot: -5.055 eV per atom
D(E_F): 1.07 states/eV per cell
Space group: No. 129
Energy relative to the lowest polymorph listed for this composition: 122.7 meV per atom

Cell and atoms, written as CIF:
```
data_MgAlN
_symmetry_space_group_name_H-M 'P 1'
_symmetry_Int_Tables_number 1
_cell_length_a 3.7366
_cell_length_b 3.7366
_cell_length_c 6.7785
_cell_angle_alpha 90.00
_cell_angle_beta 90.00
_cell_angle_gamma 90.00
loop_
_symmetry_equiv_pos_as_xyz
'x,y,z'
loop_
_atom_site_label
_atom_site_type_symbol
_atom_site_fract_x
_atom_site_fract_y
_atom_site_fract_z
_atom_site_occupancy
Mg1 Mg 0.2500 0.2500 0.0992 1
Mg2 Mg 0.7500 0.7500 0.9008 1
Al1 Al 0.2500 0.7500 0.5000 1
Al2 Al 0.7500 0.2500 0.5000 1
N1 N 0.2500 0.2500 0.4286 1
N2 N 0.7500 0.7500 0.5714 1
```

Entry 3:
The following is a PBE-GGA calculation of a geometry-optimized Mg3AlN structure, from Alexandria via LeMat-Bulk.

Computed properties:
Formation energy without anion corrections: -1.31 eV/f.u.
E_tot: -3.632 eV per atom
D(E_F): 1.45 states/eV per cell
Space group: No. 221
Energy relative to the lowest polymorph listed for this composition: 0.0 meV per atom

Cell and atoms, written as CIF:
```
data_Mg3AlN
_symmetry_space_group_name_H-M 'P 1'
_symmetry_Int_Tables_number 1
_cell_length_a 4.3296
_cell_length_b 4.3296
_cell_length_c 4.3296
_cell_angle_alpha 90.00
_cell_angle_beta 90.00
_cell_angle_gamma 90.00
loop_
_symmetry_equiv_pos_as_xyz
'x,y,z'
loop_
_atom_site_label
_atom_site_type_symbol
_atom_site_fract_x
_atom_site_fract_y
_atom_site_fract_z
_atom_site_occupancy
Mg1 Mg 0.0000 0.0000 0.5000 1
Mg2 Mg 0.0000 0.5000 0.0000 1
Mg3 Mg 0.5000 0.0000 0.0000 1
Al1 Al 0.5000 0.5000 0.5000 1
N1 N 0.0000 0.0000 0.0000 1
```

Entry 4:
The following is a PBE-GGA calculation of a geometry-optimized MgAlN2O structure, from Alexandria via LeMat-Bulk.

Computed properties:
Formation energy without anion corrections: 3.99 eV/f.u.
E_tot: -4.591 eV per atom
D(E_F): 1.40 states/eV per cell
Space group: No. 123

Cell and atoms, written as CIF:
```
data_MgAlN2O
_symmetry_space_group_name_H-M 'P 1'
_symmetry_Int_Tables_number 1
_cell_length_a 4.0010
_cell_length_b 4.0010
_cell_length_c 3.7413
_cell_angle_alpha 90.00
_cell_angle_beta 90.00
_cell_angle_gamma 90.00
loop_
_symmetry_equiv_pos_as_xyz
'x,y,z'
loop_
_atom_site_label
_atom_site_type_symbol
_atom_site_fract_x
_atom_site_fract_y
_atom_site_fract_z
_atom_site_occupancy
Mg1 Mg 0.0000 0.0000 0.0000 1
Al1 Al 0.5000 0.5000 0.5000 1
N1 N 0.0000 0.5000 0.0000 1
N2 N 0.5000 0.0000 0.0000 1
O1 O 0.0000 0.0000 0.5000 1
```

Entry 5:
The following is a PBE-GGA calculation of a geometry-optimized MgAlN2O structure, from Alexandria via LeMat-Bulk.

Computed properties:
Formation energy without anion corrections: -1.43 eV/f.u.
E_tot: -5.676 eV per atom
D(E_F): 2.62 states/eV per cell
Space group: No. 123

Cell and atoms, written as CIF:
```
data_MgAlN2O
_symmetry_space_group_name_H-M 'P 1'
_symmetry_Int_Tables_number 1
_cell_length_a 3.7937
_cell_length_b 3.7937
_cell_length_c 3.7199
_cell_angle_alpha 90.00
_cell_angle_beta 90.00
_cell_angle_gamma 90.00
loop_
_symmetry_equiv_pos_as_xyz
'x,y,z'
loop_
_atom_site_label
_atom_site_type_symbol
_atom_site_fract_x
_atom_site_fract_y
_atom_site_fract_z
_atom_site_occupancy
Mg1 Mg 0.0000 0.0000 0.0000 1
Al1 Al 0.5000 0.5000 0.5000 1
N1 N 0.0000 0.5000 0.5000 1
N2 N 0.5000 0.0000 0.5000 1
O1 O 0.5000 0.5000 0.0000 1
```

Entry 6:
The following is a PBE-GGA calculation of a geometry-optimized MgPa2AlN5 structure, from Alexandria via LeMat-Bulk.

Computed properties:
Formation energy without anion corrections: -12.00 eV/f.u.
E_tot: -8.661 eV per atom
D(E_F): 0.00 states/eV per cell
Space group: No. 36

Cell and atoms, written as CIF:
```
data_MgPa2AlN5
_symmetry_space_group_name_H-M 'P 1'
_symmetry_Int_Tables_number 1
_cell_length_a 6.9404
_cell_length_b 6.9404
_cell_length_c 9.7440
_cell_angle_alpha 90.00
_cell_angle_beta 90.00
_cell_angle_gamma 151.72
loop_
_symmetry_equiv_pos_as_xyz
'x,y,z'
loop_
_atom_site_label
_atom_site_type_symbol
_atom_site_fract_x
_atom_site_fract_y
_atom_site_fract_z
_atom_site_occupancy
Mg1 Mg 0.2135 0.7865 0.5000 1
Mg2 Mg 0.7865 0.2135 0.0000 1
Pa1 Pa 0.1284 0.8716 0.7797 1
Pa2 Pa 0.1304 0.8696 0.2068 1
Pa3 Pa 0.8696 0.1304 0.7068 1
Pa4 Pa 0.8716 0.1284 0.2797 1
Al1 Al 0.4882 0.5118 0.9946 1
Al2 Al 0.5118 0.4882 0.4946 1
N1 N 0.0537 0.9463 0.5553 1
N2 N 0.2950 0.7050 0.1674 1
N3 N 0.3002 0.6998 0.8449 1
N4 N 0.3701 0.6299 0.5430 1
N5 N 0.4897 0.5103 0.2981 1
N6 N 0.5103 0.4897 0.7981 1
N7 N 0.6299 0.3701 0.0430 1
N8 N 0.6998 0.3002 0.3449 1
N9 N 0.7050 0.2950 0.6674 1
N10 N 0.9463 0.0537 0.0553 1
```

| no. | magnetic moment (μB per cell) |
| --- | --- |
| 1 | 2.3 |
| 2 | 0.0 |
| 3 | 0.0 |
| 4 | 3.2 |
| 5 | 2.2 |
| 6 | 0.0 |